# Li2BeNi PBE relaxed
data_Li2BeNi
_cell_length_a 2.557
_cell_length_b 4.116
_cell_length_c 8.573
_cell_angle_alpha 90.00
_cell_angle_beta 90.00
_cell_angle_gamma 90.00
_symmetry_space_group_name_H-M 'C m m m'
_symmetry_Int_Tables_number 65
_symmetry_space_group_name_Hall '-C 2 2'
loop_
_atom_site_label
_atom_site_fract_x
_atom_site_fract_y
_atom_site_fract_z
Li1 0.000 0.000 0.245
Be1 0.000 0.500 0.500
Ni1 0.000 0.500 0.000
# * energy relative to the elements: 0.125 eV/atom
# * crystal system: orthorhombic
# * calculated volume: 90.2 Å³ per cell
# * density of states at the Fermi level: 0.414 states/eV per atom

=====

# RbMgMoI2 PBE relaxed
data_RbMgMoI2
_cell_length_a 5.820
_cell_length_b 5.820
_cell_length_c 6.940
_cell_angle_alpha 90.00
_cell_angle_beta 90.00
_cell_angle_gamma 90.00
_symmetry_space_group_name_H-M 'P 4/m m m'
_symmetry_Int_Tables_number 123
_symmetry_space_group_name_Hall '-P 4 2'
loop_
_atom_site_label
_atom_site_fract_x
_atom_site_fract_y
_atom_site_fract_z
Rb1 0.000 0.000 0.000
Mg1 0.500 0.500 0.000
Mo1 0.000 0.000 0.500
I1 0.000 0.500 0.500
# * crystal system: tetragonal
# * calculated volume: 235.1 Å³ per cell
# * formation energy from raw total energies: 0.4240 eV per atom
# * density of states at the Fermi level: 0.360 states/eV per atom

=====

# MoH2I PBE relaxed
data_MoH2I
_cell_length_a 5.995
_cell_length_b 5.995
_cell_length_c 5.995
_cell_angle_alpha 90.00
_cell_angle_beta 90.00
_cell_angle_gamma 90.00
_symmetry_space_group_name_H-M 'F m -3 m'
_symmetry_Int_Tables_number 225
_symmetry_space_group_name_Hall '-F 4 2 3'
loop_
_atom_site_label
_atom_site_fract_x
_atom_site_fract_y
_atom_site_fract_z
Mo1 0.000 0.000 0.000
H1 0.250 0.250 0.250
I1 0.000 0.000 0.500
# * crystal system: cubic
# * calculated volume: 215.4 Å³ per cell
# * density of states at the Fermi level: 0.369 states/eV per atom
# * ΔE to the lowest computed polymorph: 0.760 eV per atom

=====

# Ca3Al4Pt4 PBE relaxed
data_Ca3Al4Pt4
_cell_length_a 7.755
_cell_length_b 7.755
_cell_length_c 7.755
_cell_angle_alpha 90.00
_cell_angle_beta 90.00
_cell_angle_gamma 90.00
_symmetry_space_group_name_H-M 'I -4 3 m'
_symmetry_Int_Tables_number 217
_symmetry_space_group_name_Hall 'I -4 2 3'
loop_
_atom_site_label
_atom_site_fract_x
_atom_site_fract_y
_atom_site_fract_z
Ca1 0.000 0.000 0.500
Al1 0.135 0.135 0.865
Pt1 0.183 0.183 0.183
# * energy relative to the elements: -0.941 eV/atom
# * crystal system: cubic
# * calculated volume: 466.3 Å³ per cell
# * density of states at the Fermi level: 0.427 states/eV per atom

=====

# Cs3H3Au PBE relaxed
data_Cs3H3Au
_cell_length_a 9.4530
_cell_length_b 9.4530
_cell_length_c 6.0556
_cell_angle_alpha 90.00
_cell_angle_beta 90.00
_cell_angle_gamma 120.00
_symmetry_space_group_name_H-M 'P 63/m'
_symmetry_Int_Tables_number 176
_symmetry_space_group_name_Hall '-P 6c'
loop_
_atom_site_label
_atom_site_fract_x
_atom_site_fract_y
_atom_site_fract_z
Cs1 0.0876 0.3715 0.2500
H1 0.1552 0.4750 0.7500
Au1 0.3333 0.6667 0.7500
# * E: -2.444 eV/atom
# * crystal system: hexagonal
# * calculated volume: 468.6 Å³ per cell
# * density of states at the Fermi level: 0.293 states/eV per atom

=====

# Mn3Tl2Br10 PBE relaxed
data_Mn3Tl2Br10
_cell_length_a 24.990
_cell_length_b 7.498
_cell_length_c 10.579
_cell_angle_alpha 90.00
_cell_angle_beta 111.01
_cell_angle_gamma 90.00
_symmetry_space_group_name_H-M 'C 1 2/m 1'
_symmetry_Int_Tables_number 12
_symmetry_space_group_name_Hall '-C 2y'
loop_
_atom_site_label
_atom_site_fract_x
_atom_site_fract_y
_atom_site_fract_z
Mn1 0.000 0.245 0.000
Mn2 0.068 0.500 0.459
Mn3 0.179 0.500 0.038
Tl1 0.131 0.000 0.801
Tl2 0.245 0.500 0.701
Br1 0.000 0.279 0.500
Br2 0.010 0.000 0.179
Br3 0.013 0.500 0.182
Br4 0.117 0.246 0.066
Br5 0.132 0.500 0.788
Br6 0.135 0.264 0.476
Br7 0.240 0.500 0.277
Br8 0.250 0.250 0.000
# * crystal system: monoclinic
# * calculated volume: 1850.5 Å³ per cell
# * formation energy from raw total energies: -0.7212 eV per atom
# * density of states at the Fermi level: 0.157 states/eV per atom

=====

# Tb2Tm8Th3 PBE relaxed
data_Tb2Tm8Th3
_cell_length_a 5.572
_cell_length_b 6.733
_cell_length_c 21.969
_cell_angle_alpha 90.00
_cell_angle_beta 90.00
_cell_angle_gamma 90.00
_symmetry_space_group_name_H-M 'I m m m'
_symmetry_Int_Tables_number 71
_symmetry_space_group_name_Hall '-I 2 2'
loop_
_atom_site_label
_atom_site_fract_x
_atom_site_fract_y
_atom_site_fract_z
Tb1 0.000 0.000 0.224
Tm1 0.000 0.000 0.075
Tm2 0.000 0.261 0.350
Tm3 0.000 0.500 0.183
Th1 0.000 0.269 0.500
Th2 0.000 0.500 0.000
# * energy relative to the elements: 0.163 eV/atom
# * crystal system: orthorhombic
# * calculated volume: 824.2 Å³ per cell
# * density of states at the Fermi level: 1.631 states/eV per atom
# * ΔE to the lowest computed polymorph: 0.000 eV per atom

=====

# Pm7Sn4Ru PBE relaxed
data_Pm7Sn4Ru
_cell_length_a 15.954
_cell_length_b 5.354
_cell_length_c 11.385
_cell_angle_alpha 90.00
_cell_angle_beta 127.73
_cell_angle_gamma 90.00
_symmetry_space_group_name_H-M 'C 1 2/m 1'
_symmetry_Int_Tables_number 12
_symmetry_space_group_name_Hall '-C 2y'
loop_
_atom_site_label
_atom_site_fract_x
_atom_site_fract_y
_atom_site_fract_z
Pm1 0.000 0.000 0.000
Pm2 0.065 0.500 0.277
Pm3 0.146 0.000 0.560
Pm4 0.222 0.500 0.868
Sn1 0.080 0.000 0.776
Sn2 0.219 0.000 0.348
Ru1 0.000 0.500 0.000
# * energy relative to the elements: -0.362 eV/atom
# * crystal system: monoclinic
# * calculated volume: 769.3 Å³ per cell
# * density of states at the Fermi level: 0.705 states/eV per atom